(1)
BaSc2AgSe4 | PBE | optimized geometry

Lattice parameters (Å, degrees): 4.1832 13.6184 14.1029 90.00 90.00 90.00
Space group Cmcm (No. 63)
Asymmetric unit:
Ba 0.0000 0.1330 0.2500 x4
Sc 0.0000 0.3794 0.0590 x8
Ag 0.0000 0.1497 0.7500 x4
Se 0.0000 0.0000 0.0000 x4
Se 0.0000 0.2620 0.6000 x8
Se 0.0000 0.4573 0.2500 x4

As for the uncorrected energy: -5.319 eV/atom. Its spin magnetization is 0.0 μB per cell.


(2)
BaSc2AgTe4 | PBE | optimized geometry

Lattice parameters (Å, degrees): 4.4329 14.4887 15.1877 90.00 90.00 90.00
Space group Cmcm (No. 63)
Asymmetric unit:
Ba 0.0000 0.1384 0.2500 x4
Sc 0.0000 0.3803 0.0639 x8
Ag 0.0000 0.1514 0.7500 x4
Te 0.0000 0.0000 0.0000 x4
Te 0.0000 0.2622 0.6001 x8
Te 0.0000 0.4584 0.2500 x4

As for the uncorrected energy: -4.824 eV/atom. Its spin magnetization is 0.0 μB per cell.


(3)
BaScVAg2 | PBE | optimized geometry

Lattice parameters (Å, degrees): 5.1644 5.1644 5.3261 90.00 90.00 90.00
Space group P4/mmm (No. 123)
Asymmetric unit:
Ba 0.0000 0.0000 0.0000 x1
Sc 0.5000 0.5000 0.0000 x1
V 0.0000 0.0000 0.5000 x1
Ag 0.0000 0.5000 0.5000 x2

The energy of formation comes out at 458 kJ/mol of formula units. As for the uncorrected energy: -3.666 eV/atom. Its spin magnetization is 1.9 μB per cell.


(4)
BaSc2AgW | PBE | optimized geometry

Lattice parameters (Å, degrees): 5.2338 5.2338 5.9274 90.00 90.00 90.00
Space group P4/mmm (No. 123)
Asymmetric unit:
Ba 0.0000 0.0000 0.0000 x1
Sc 0.0000 0.5000 0.5000 x2
Ag 0.0000 0.0000 0.5000 x1
W 0.5000 0.5000 0.0000 x1

The energy of formation comes out at 654 kJ/mol of formula units. As for the uncorrected energy: -4.722 eV/atom. Its spin magnetization is 3.7 μB per cell.


Which value of spin magnetization does entry 3 give?
1.9 μB per cell


Number 2 is which compound?
BaSc2AgTe4


Among the records above, which one has the highest spin magnetization?
BaSc2AgW